The following is a PBE-GGA calculation of a relaxed structure of Cs4Te5Se3, from Alexandria via LeMat-Bulk.

a b c (Å): 17.616 5.709 11.744
angles (deg): 90.00 113.43 90.00
Space group C2/m (No. 12)
Asymmetric unit:
Cs 0.033 0.000 0.312
Cs 0.247 0.500 0.174
Te 0.000 0.500 0.000
Te 0.101 0.500 0.621
Te 0.225 0.500 0.511
Se 0.000 0.000 0.000
Se 0.103 0.500 0.850

Properties
* E_form (uncorrected): -617.5 meV/atom
* raw total energy: -36.99 eV per formula unit